## PrSc2Se4 (PBE)

Data for a relaxed PrSc2Se4 crystal.

Structure (CIF):
```
data_PrSc2Se4
_cell_length_a 3.950
_cell_length_b 12.842
_cell_length_c 13.417
_cell_angle_alpha 90.00
_cell_angle_beta 90.00
_cell_angle_gamma 90.00
_symmetry_space_group_name_H-M 'C m c m'
_symmetry_Int_Tables_number 63
_symmetry_space_group_name_Hall '-C 2c 2'
loop_
_atom_site_label
_atom_site_fract_x
_atom_site_fract_y
_atom_site_fract_z
Pr1 0.000 0.121 0.250
Sc1 0.000 0.371 0.064
Se1 0.000 0.000 0.000
Se2 0.000 0.270 0.615
Se3 0.000 0.448 0.250
```

**Energy relative to the elements, uncorrected**: -1.77 eV per atom
**Spin magnetization**: 0.0000 μB/atom
**Calculated density**: 5.3 g/cm3
**DOS(E_F)**: 2.470 states/eV/f.u.